DFT (PBE) results for a relaxed LuHfFeSi2 crystal.

Unit cell a=5.374 b=5.374 c=9.592 alpha=116.33 beta=116.33 gamma=43.25
Atoms (fractional coordinates):
1 Fe 0.729 0.729 0.380
2 Fe 0.271 0.271 0.620
3 Hf 0.003 0.003 0.331
4 Hf 0.997 0.997 0.669
5 Lu 0.189 0.189 0.106
6 Lu 0.811 0.811 0.894
7 Si 0.493 0.493 0.133
8 Si 0.355 0.355 0.432
9 Si 0.645 0.645 0.568
10 Si 0.507 0.507 0.867

The value obtained for the energy relative to the lowest polymorph listed for this composition is 0 meV/atom. Its symmetry is C2/m.